No. 1
A plane-wave DFT calculation with GGA-PBE was carried out for an optimized crystal structure of MnHgSe2.

Output
Space group = Cc
V = 207.6 Å³/cell
Formation energy without anion corrections = -189 meV per atom
Spin magnetization = 2.68 Bohr magnetons per cell

a b c (Å): 5.343 6.797 6.798
angles (deg): 97.35 66.52 113.44
Each line ends with the local moment (μB).
Atoms (fractional coordinates):
Se 0.533 0.870 0.618  -0.07
Se 0.033 0.166 0.913  -0.07
Se 0.321 0.166 0.322  -0.07
Se 0.821 0.461 0.617  -0.07
Mn 0.427 0.162 0.613  1.40
Mn 0.927 0.170 0.622  1.40
Hg 0.426 0.596 0.048  0.00
Hg 0.926 0.736 0.187  0.00

No. 2
A plane-wave DFT calculation with GGA-PBE was carried out for an optimized crystal structure of Mn3HgSe.

Output
Space group = Pm-3m
V = 101.5 Å³/cell
Formation energy without anion corrections = 473 meV per atom
Spin magnetization = 11.06 Bohr magnetons per cell
ΔE to the lowest computed polymorph = 0.000 eV/f.u.

a b c (Å): 4.665 4.665 4.665
angles (deg): 90.00 90.00 90.00
Each line ends with the local moment (μB).
Atoms (fractional coordinates):
Hg 0.500 0.500 0.500  0.02
Mn 0.500 0.000 0.000  3.79
Mn 0.000 0.000 0.500  3.51
Mn 0.000 0.500 0.000  3.57
Se 0.000 0.000 0.000  -0.05

No. 3
A plane-wave DFT calculation with GGA-PBE was carried out for an optimized crystal structure of MnHgSe2.

Output
Space group = P1
V = 181.2 Å³/cell
Formation energy without anion corrections = -308 meV per atom
Spin magnetization = 1.99 Bohr magnetons per cell

a b c (Å): 3.338 5.637 9.833
angles (deg): 78.36 90.92 89.97
Each line ends with the local moment (μB).
Atoms (fractional coordinates):
Mn 0.787 0.773 0.570  1.18
Mn 0.288 0.384 0.582  1.18
Se 0.796 0.435 0.749  -0.07
Se 0.782 0.207 0.447  -0.09
Se 0.294 0.951 0.705  -0.09
Se 0.279 0.722 0.402  -0.07
Hg 0.780 0.843 0.039  -0.01
Hg 0.291 0.317 0.112  -0.01

No. 4
A plane-wave DFT calculation with GGA-PBE was carried out for an optimized crystal structure of MnHgSe2.

Output
Space group = P4/mmm
V = 83.9 Å³/cell
Formation energy without anion corrections = 237 meV per atom
Spin magnetization = 4.47 Bohr magnetons per cell

a b c (Å): 3.610 4.822 4.822
angles (deg): 90.00 90.00 90.00
Each line ends with the local moment (μB).
Atoms (fractional coordinates):
Se 0.000 0.500 0.500  -0.03
Se 0.000 0.000 0.000  -0.03
Hg 0.500 0.500 0.000  0.00
Mn 0.500 0.000 0.500  4.25

No. 5
A plane-wave DFT calculation with GGA-PBE was carried out for an optimized crystal structure of Mn3HgSe.

Output
Space group = Pm-3m
V = 128.5 Å³/cell
Formation energy without anion corrections = 998 meV per atom
Spin magnetization = 13.21 Bohr magnetons per cell
ΔE to the lowest computed polymorph = 2.623 eV/f.u.

a b c (Å): 5.046 5.046 5.046
angles (deg): 90.00 90.00 90.00
Each line ends with the local moment (μB).
Atoms (fractional coordinates):
Se 0.500 0.500 0.500  0.02
Mn 0.000 0.000 0.500  4.35
Mn 0.000 0.500 0.000  4.16
Mn 0.500 0.000 0.000  3.95
Hg 0.000 0.000 0.000  -0.09

No. 6
A plane-wave DFT calculation with GGA-PBE was carried out for an optimized crystal structure of Mn2HgSe.

Output
Space group = P4/mmm
V = 70.4 Å³/cell
Formation energy without anion corrections = 200 meV per atom
Spin magnetization = 7.70 Bohr magnetons per cell

a b c (Å): 3.361 3.361 6.236
angles (deg): 90.00 90.00 90.00
Each line ends with the local moment (μB).
Atoms (fractional coordinates):
Hg 0.500 0.500 0.750  -0.04
Mn 0.000 0.000 0.475  3.66
Mn 0.000 0.000 0.025  3.66
Se 0.500 0.500 0.250  0.02

No. 7
A plane-wave DFT calculation with GGA-PBE was carried out for an optimized crystal structure of MnHgSe2.

Output
Space group = P3m1
V = 87.1 Å³/cell
Formation energy without anion corrections = 67 meV per atom
Spin magnetization = 0.66 Bohr magnetons per cell

a b c (Å): 3.082 3.082 10.581
angles (deg): 90.00 90.00 120.00
Each line ends with the local moment (μB).
Atoms (fractional coordinates):
Se 0.667 0.333 0.319  -0.04
Se 0.333 0.667 0.679  0.01
Hg 0.000 0.000 0.997  0.05
Mn 0.333 0.667 0.460  0.62

No. 8
A plane-wave DFT calculation with GGA-PBE was carried out for an optimized crystal structure of Mn2HgSe.

Output
Space group = I4/mmm
V = 72.4 Å³/cell
Formation energy without anion corrections = 285 meV per atom
Spin magnetization = 7.85 Bohr magnetons per cell

a b c (Å): 4.875 4.875 4.875
angles (deg): 126.49 126.49 79.09
Each line ends with the local moment (μB).
Atoms (fractional coordinates):
Se 0.250 0.750 0.500  0.01
Mn 0.000 0.000 0.000  3.75
Mn 0.500 0.500 0.000  3.75
Hg 0.750 0.250 0.500  -0.04